(1)
K2CuRu | PBE | relaxed

Values from the calculation:
- offset from the most stable computed form (eV/atom) = 0.181

Cell and atoms, written as CIF:
```
data_K2CuRu
_cell_length_a 4.182
_cell_length_b 5.693
_cell_length_c 10.061
_cell_angle_alpha 90.00
_cell_angle_beta 90.00
_cell_angle_gamma 90.00
_space_group_name_H-M_alt 'I m m 2'
_space_group_IT_number 44
loop_
_space_group_symop_operation_xyz
'x,y,z'
'-x,-y,z'
'-x,y,z'
'x,-y,z'
'x+1/2,y+1/2,z+1/2'
'-x+1/2,-y+1/2,z+1/2'
'-x+1/2,y+1/2,z+1/2'
'x+1/2,-y+1/2,z+1/2'
loop_
_atom_site_label
_atom_site_type_symbol
_atom_site_fract_x
_atom_site_fract_y
_atom_site_fract_z
K1 K 0.000 0.000 0.000
K2 K 0.000 0.500 0.198
Cu1 Cu 0.000 0.500 0.789
Ru1 Ru 0.000 0.000 0.396
```

(2)
Zn6GaAg6 | PBE | relaxed

Values from the calculation:
- offset from the most stable computed form (eV/atom) = 0.006

Cell and atoms, written as CIF:
```
data_Zn6GaAg6
_cell_length_a 5.104
_cell_length_b 8.959
_cell_length_c 9.623
_cell_angle_alpha 90.00
_cell_angle_beta 90.00
_cell_angle_gamma 90.00
_space_group_name_H-M_alt 'I m m m'
_space_group_IT_number 71
_space_group_name_Hall '-I 2 2'
loop_
_atom_site_label
_atom_site_type_symbol
_atom_site_fract_x
_atom_site_fract_y
_atom_site_fract_z
Zn1 Zn 0.000 0.000 0.244
Zn2 Zn 0.250 0.250 0.250
Ga1 Ga 0.000 0.500 0.500
Ag1 Ag 0.000 0.162 0.500
Ag2 Ag 0.000 0.171 0.000
Ag3 Ag 0.000 0.500 0.144
```

(3)
SrZn2GeRh | PBE | relaxed

Values from the calculation:
- offset from the most stable computed form (eV/atom) = 0.000

Cell and atoms, written as CIF:
```
data_SrZn2GeRh
_cell_length_a 4.275
_cell_length_b 4.329
_cell_length_c 10.745
_cell_angle_alpha 90.00
_cell_angle_beta 90.00
_cell_angle_gamma 90.00
_space_group_name_H-M_alt 'I m m 2'
_space_group_IT_number 44
loop_
_space_group_symop_operation_xyz
'x,y,z'
'-x,-y,z'
'-x,y,z'
'x,-y,z'
'x+1/2,y+1/2,z+1/2'
'-x+1/2,-y+1/2,z+1/2'
'-x+1/2,y+1/2,z+1/2'
'x+1/2,-y+1/2,z+1/2'
loop_
_atom_site_label
_atom_site_type_symbol
_atom_site_fract_x
_atom_site_fract_y
_atom_site_fract_z
Sr1 Sr 0.000 0.000 0.000
Zn1 Zn 0.000 0.000 0.625
Zn2 Zn 0.000 0.500 0.252
Ge1 Ge 0.000 0.000 0.378
Rh1 Rh 0.000 0.500 0.758
```

(4)
ErSbF | PBE | relaxed

Values from the calculation:
- formation energy from raw total energies (eV/atom) = -2.15
- offset from the most stable computed form (eV/atom) = 0.000

Cell and atoms, written as CIF:
```
data_ErSbF
_cell_length_a 11.081
_cell_length_b 4.035
_cell_length_c 6.551
_cell_angle_alpha 90.00
_cell_angle_beta 113.28
_cell_angle_gamma 90.00
_space_group_name_H-M_alt 'C 1 2/m 1'
_space_group_IT_number 12
loop_
_space_group_symop_operation_xyz
'x,y,z'
'-x,-y,-z'
'-x,y,-z'
'x,-y,z'
'x+1/2,y+1/2,z'
'-x+1/2,-y+1/2,-z'
'-x+1/2,y+1/2,-z'
'x+1/2,-y+1/2,z'
loop_
_atom_site_label
_atom_site_type_symbol
_atom_site_fract_x
_atom_site_fract_y
_atom_site_fract_z
Er1 Er 0.183 0.000 0.234
Sb1 Sb 0.045 0.500 0.817
F1 F 0.221 0.000 0.600
```

(5)
Pr2Nd3ThSe6 | PBE | relaxed

Values from the calculation:
- formation energy from raw total energies (eV/atom) = -1.78

Cell and atoms, written as CIF:
```
data_Pr2Nd3ThSe6
_cell_length_a 18.442
_cell_length_b 4.233
_cell_length_c 8.493
_cell_angle_alpha 90.00
_cell_angle_beta 103.19
_cell_angle_gamma 90.00
_space_group_name_H-M_alt 'C 1 2/m 1'
_space_group_IT_number 12
loop_
_space_group_symop_operation_xyz
'x,y,z'
'-x,-y,-z'
'-x,y,-z'
'x,-y,z'
'x+1/2,y+1/2,z'
'-x+1/2,-y+1/2,-z'
'-x+1/2,y+1/2,-z'
'x+1/2,-y+1/2,z'
loop_
_atom_site_label
_atom_site_type_symbol
_atom_site_fract_x
_atom_site_fract_y
_atom_site_fract_z
Pr1 Pr 0.166 0.000 0.331
Nd1 Nd 0.000 0.500 0.500
Nd2 Nd 0.167 0.000 0.835
Th1 Th 0.000 0.500 0.000
Se1 Se 0.002 0.000 0.751
Se2 Se 0.166 0.500 0.081
Se3 Se 0.167 0.500 0.585
```

(6)
NaNd6In5 | PBE | relaxed

Cell and atoms, written as CIF:
```
data_NaNd6In5
_cell_length_a 5.530
_cell_length_b 16.666
_cell_length_c 7.697
_cell_angle_alpha 90.00
_cell_angle_beta 90.00
_cell_angle_gamma 90.00
_space_group_name_H-M_alt 'C m m m'
_space_group_IT_number 65
_space_group_name_Hall '-C 2 2'
loop_
_atom_site_label
_atom_site_type_symbol
_atom_site_fract_x
_atom_site_fract_y
_atom_site_fract_z
Na1 Na 0.000 0.000 0.000
Nd1 Nd 0.000 0.170 0.249
Nd2 Nd 0.000 0.500 0.258
In1 In 0.000 0.000 0.500
In2 In 0.000 0.335 0.500
In3 In 0.000 0.343 0.000
```

Table of final energy (eV per cell), in record order: -24.1 -55.4 -36.4 -68.0 -147.2 -96.6